4
Lattice="3.008 0.000 0.000 0.000 3.958 0.000 -0.634 0.000 6.069" Properties=species:S:1:pos:R:3 comment="PBE-GGA Ta2NiPb, relaxed" spacegroup=P2/m ef_mev_per_atom=327.8 pbc="T T T"
Ta -0.036 0.000 1.748
Ta 2.409 0.000 4.321
Ni 1.187 1.979 3.034
Pb 1.504 1.979 0.000